Entry 1:
A plane-wave DFT calculation with PBE-GGA was carried out for a relaxed structure of BeZn4Hg.

It has space group F-43m (No. 216), with a = 7.263 Å, b = 7.263 Å, c = 7.263 Å, α = 90.00°, β = 90.00° and γ = 90.00°. The distinct sites, in fractional coordinates, are Be at (0.000, 0.000, 0.000), Zn at (0.126, 0.126, 0.374) and Hg at (0.250, 0.250, 0.750).

The calculation puts the energy relative to the elements at 1.9 eV/f.u. The calculation puts the total energy at -0.088 Ry per atom. As for the total magnetization: 0.0 μB per cell.



Entry 2:
A plane-wave DFT calculation with PBE-GGA was carried out for a relaxed structure of ZrBeZn2Hg.

It has space group P4/mmm (No. 123), with a = 4.374 Å, b = 4.374 Å, c = 4.495 Å, α = 90.00°, β = 90.00° and γ = 90.00°. The distinct sites, in fractional coordinates, are Zr at (0.000, 0.000, 0.000), Be at (0.500, 0.500, 0.500), Zn at (0.000, 0.500, 0.500) and Hg at (0.500, 0.500, 0.000).

The calculation puts the energy relative to the elements at 1.1 eV/f.u. The calculation puts the total energy at -0.206 Ry per atom. As for the total magnetization: 0.0 μB per cell.



Entry 3:
A plane-wave DFT calculation with PBE-GGA was carried out for a relaxed structure of ZrBe2Hg.

It has space group P4/mmm (No. 123), with a = 4.260 Å, b = 4.260 Å, c = 3.442 Å, α = 90.00°, β = 90.00° and γ = 90.00°. The distinct sites, in fractional coordinates, are Zr at (0.000, 0.000, 0.000), Be at (0.000, 0.500, 0.500) and Hg at (0.500, 0.500, 0.000).

The calculation puts the energy relative to the elements at 0.4 eV/f.u. The calculation puts the total energy at -0.292 Ry per atom. As for the total magnetization: 0.0 μB per cell.



Entry 4:
A plane-wave DFT calculation with PBE-GGA was carried out for a relaxed structure of Zr2Be2Hg.

It has space group P4/mbm (No. 127), with a = 6.406 Å, b = 6.406 Å, c = 4.011 Å, α = 90.00°, β = 90.00° and γ = 90.00°. The distinct sites, in fractional coordinates, are Zr at (0.170, 0.330, 0.000), Be at (0.122, 0.622, 0.500) and Hg at (0.000, 0.000, 0.500).

The calculation puts the energy relative to the elements at -1.2 eV/f.u. The calculation puts the total energy at -0.383 Ry per atom. As for the total magnetization: 0.0 μB per cell.



Entry 5:
A plane-wave DFT calculation with PBE-GGA was carried out for a relaxed structure of Zr4Be2Hg5.

It has space group P2/m (No. 10), with a = 7.477 Å, b = 3.306 Å, c = 8.866 Å, α = 90.00°, β = 93.37° and γ = 90.00°. The distinct sites, in fractional coordinates, are Zr at (0.179, 0.000, 0.341), Zr at (0.220, 0.000, 0.938), Be at (0.055, 0.500, 0.119), Hg at (0.153, 0.500, 0.643), Hg at (0.448, 0.500, 0.166) and Hg at (0.500, 0.500, 0.500).

The calculation puts the energy relative to the elements at -1.2 eV/f.u. The calculation puts the total energy at -0.296 Ry per atom. As for the total magnetization: 0.0 μB per cell.



Entry 6:
A plane-wave DFT calculation with PBE-GGA was carried out for a relaxed structure of ZrBe2Hg.

It has space group Amm2 (No. 38), with a = 3.691 Å, b = 3.650 Å, c = 8.987 Å, α = 90.00°, β = 90.00° and γ = 90.00°. The distinct sites, in fractional coordinates, are Zr at (0.000, 0.000, 0.000), Be at (0.000, 0.000, 0.706), Be at (0.500, 0.000, 0.582) and Hg at (0.500, 0.000, 0.289).

The calculation puts the energy relative to the elements at 0.2 eV/f.u. The calculation puts the total energy at -0.296 Ry per atom. As for the total magnetization: 0.0 μB per cell.



Entry 7:
A plane-wave DFT calculation with PBE-GGA was carried out for a relaxed structure of Zr6BeHg2.

It has space group P-62m (No. 189), with a = 8.0404 Å, b = 8.0404 Å, c = 3.4217 Å, α = 90.00°, β = 90.00° and γ = 120.00°. The distinct sites, in fractional coordinates, are Zr at (0.0000, 0.2430, 0.0000), Zr at (0.0000, 0.6163, 0.5000), Be at (0.0000, 0.0000, 0.5000) and Hg at (0.3333, 0.6667, 0.0000).

The calculation puts the energy relative to the elements at -0.7 eV/f.u. The calculation puts the total energy at -0.460 Ry per atom. As for the total magnetization: 0.0 μB per cell.



Entry 8:
A plane-wave DFT calculation with PBE-GGA was carried out for a relaxed structure of ZrBe3Hg.

It has space group Pm-3m (No. 221), with a = 4.750 Å, b = 4.750 Å, c = 4.750 Å, α = 90.00°, β = 90.00° and γ = 90.00°. The distinct sites, in fractional coordinates, are Zr at (0.000, 0.000, 0.000), Be at (0.000, 0.000, 0.500) and Hg at (0.500, 0.500, 0.500).

The calculation puts the energy relative to the elements at 8.3 eV/f.u. The calculation puts the total energy at -0.172 Ry per atom. As for the total magnetization: 0.0 μB per cell. Its offset from the most stable computed form is 0.939 eV/atom.



Q: What is the energy relative to the elements in the first record?
A: 1.9 eV/f.u.